No. 1
The following is a SCAN calculation of a PBEsol-optimized structure of LiMgRu2, from the Alexandria database.

Unit cell a=4.247 b=4.247 c=4.247 alpha=60.00 beta=60.00 gamma=60.00
Sites, in units of the cell vectors:
Li1 0.000 0.000 0.000
Mg1 0.750 0.750 0.750
Ru1 0.250 0.250 0.250
Ru2 0.500 0.500 0.500

Results
- total energy (eV for the cell shown) = -77.039
- M_tot (μB/atom) = 0.001
- formation energy (eV/atom) = -0.01
- N(E_F) (states/eV/f.u.) = 3.0

No. 2
The following is a SCAN calculation of a PBEsol-optimized structure of LiMgRu2, from the Alexandria database.

Unit cell a=2.571 b=2.571 c=8.539 alpha=90.00 beta=90.00 gamma=90.00
Sites, in units of the cell vectors:
Li1 0.000 0.000 0.000
Mg1 0.000 0.000 0.500
Ru1 0.500 0.500 0.249
Ru2 0.500 0.500 0.751

Results
- total energy (eV for the cell shown) = -75.976
- M_tot (μB/atom) = 0.266
- formation energy (eV/atom) = 0.26
- N(E_F) (states/eV/f.u.) = 3.3

No. 3
The following is a SCAN calculation of a PBEsol-optimized structure of LiMgRu2, from the Alexandria database.

Unit cell a=2.677 b=4.412 c=4.758 alpha=90.00 beta=98.07 gamma=90.00
Sites, in units of the cell vectors:
Li1 0.000 0.000 0.000
Mg1 0.500 0.000 0.500
Ru1 0.210 0.500 0.766
Ru2 0.790 0.500 0.234

Results
- total energy (eV for the cell shown) = -76.512
- M_tot (μB/atom) = 0.000
- formation energy (eV/atom) = 0.13
- N(E_F) (states/eV/f.u.) = 3.6

No. 4
The following is a SCAN calculation of a PBEsol-optimized structure of Li3MgS, from the Alexandria database.

Unit cell a=4.650 b=4.650 c=4.650 alpha=90.00 beta=90.00 gamma=90.00
Sites, in units of the cell vectors:
Li1 0.000 0.000 0.500
Li2 0.000 0.500 0.000
Li3 0.500 0.000 0.000
Mg1 0.500 0.500 0.500
S1 0.000 0.000 0.000

Results
- total energy (eV for the cell shown) = -24.719
- uncorrected formation energy (kJ/mol of atoms) = -57
- M_tot (μB/atom) = 0.000
- N(E_F) (states/eV/f.u.) = 2.1

No. 5
The following is a SCAN calculation of a PBEsol-optimized structure of LiMg2Sb, from the Alexandria database.

Unit cell a=5.158 b=5.158 c=3.415 alpha=90.00 beta=90.00 gamma=107.28
Sites, in units of the cell vectors:
Li1 0.000 0.000 0.000
Mg1 0.000 0.500 0.500
Mg2 0.500 0.000 0.500
Sb1 0.500 0.500 0.000

Results
- total energy (eV for the cell shown) = -50.232
- uncorrected formation energy (kJ/mol of atoms) = -15
- M_tot (μB/atom) = 0.000
- N(E_F) (states/eV/f.u.) = 1.4

No. 6
The following is a SCAN calculation of a PBEsol-optimized structure of LiMg2Sb, from the Alexandria database.

Unit cell a=5.115 b=5.115 c=5.424 alpha=99.42 beta=99.42 gamma=38.83
Sites, in units of the cell vectors:
Li1 0.000 0.000 0.000
Mg1 0.242 0.242 0.755
Mg2 0.489 0.489 0.502
Sb1 0.742 0.742 0.227

Results
- total energy (eV for the cell shown) = -50.261
- uncorrected formation energy (kJ/mol of atoms) = -16
- M_tot (μB/atom) = 0.000
- N(E_F) (states/eV/f.u.) = 1.5

No. 7
The following is a SCAN calculation of a PBEsol-optimized structure of LiMg2Sb, from the Alexandria database.

Unit cell a=5.477 b=5.477 c=5.477 alpha=133.73 beta=133.73 gamma=67.51
Sites, in units of the cell vectors:
Li1 0.000 0.000 0.000
Mg1 0.500 0.500 0.000
Mg2 0.750 0.250 0.500
Sb1 0.250 0.750 0.500

Results
- total energy (eV for the cell shown) = -50.648
- uncorrected formation energy (kJ/mol of atoms) = -25
- M_tot (μB/atom) = 0.013
- N(E_F) (states/eV/f.u.) = 1.4

No. 8
The following is a SCAN calculation of a PBEsol-optimized structure of LiMg2Sb, from the Alexandria database.

Unit cell a=3.869 b=3.869 c=5.887 alpha=90.00 beta=90.00 gamma=90.00
Sites, in units of the cell vectors:
Li1 0.000 0.000 0.000
Mg1 0.500 0.500 0.254
Mg2 0.500 0.500 0.746
Sb1 0.000 0.000 0.500

Results
- total energy (eV for the cell shown) = -50.466
- uncorrected formation energy (kJ/mol of atoms) = -21
- M_tot (μB/atom) = 0.000
- N(E_F) (states/eV/f.u.) = 1.0

- What is the M_tot in the eighth record?
  0.000 μB/atom